[1]
First-principles (SCAN) data for SbMo2P at its PBEsol-relaxed geometry, as listed in the Alexandria database.

Cell and atoms, written as POSCAR:
```
SbMo2P
1.0
4.429 0.000 0.000
0.000 4.429 0.000
0.000 0.000 3.168
Sb Mo P
1 2 1
Direct
0.000 0.000 0.000
0.000 0.500 0.500
0.500 0.000 0.500
0.500 0.500 0.000
```

The relative energy among the computed polymorphs comes out at 0.204 eV/atom. The formation energy without anion corrections comes out at 0.8 eV per formula unit.

=====

[2]
First-principles (SCAN) data for CsBi2Pt2 at its PBEsol-relaxed geometry, as listed in the Alexandria database.

Cell and atoms, written as POSCAR:
```
CsBi2Pt2
1.0
-2.409 2.409 6.444
2.409 -2.409 6.444
2.409 2.409 -6.444
Cs Bi Pt
1 2 2
Direct
0.000 0.000 0.000
0.347 0.347 0.000
0.653 0.653 0.000
0.250 0.750 0.500
0.750 0.250 0.500
```

The formation energy from the elements is -283 meV/atom.

=====

| no. | uncorrected energy (eV per atom) |
| --- | --- |
| 1 | -29.17 |
| 2 | -67.35 |